<P>
A relaxed structure of CeDy12Y7, computed with PBE.

abc: 11.3067 11.3067 11.3067
angles: 90.00 90.00 90.00
Space group Im-3m (No. 229)
Symmetry-distinct sites (fractional):
Ce 0.0000 0.0000 0.0000 [2 per cell]
Dy 0.0000 0.2562 0.2562 [24 per cell]
Y 0.0000 0.0000 0.5000 [6 per cell]
Y 0.2500 0.2500 0.2500 [8 per cell]

Summary:
The density of states at the Fermi level comes out at 68.18 states/eV/cell. For the mass density, the calculation gives 6232 kg/m³.


<Q>
A relaxed structure of CeDy12Y7, computed with PBE.

abc: 12.3491 12.3491 14.8399
angles: 90.00 90.00 120.00
Space group R-3 (No. 148, hexagonal axes)
Symmetry-distinct sites (fractional):
Ce 0.0000 0.0000 0.0000 [3 per cell]
Dy 0.0222 0.5855 0.2130 [18 per cell]
Dy 0.0425 0.8563 0.3110 [18 per cell]
Y 0.0000 0.0000 0.5000 [3 per cell]
Y 0.0673 0.2261 0.9004 [18 per cell]

Summary:
The density of states at the Fermi level comes out at 122.29 states/eV/cell. For the mass density, the calculation gives 6894 kg/m³.


<Q> takes first place; second place is 481 meV/atom up.


<P>
A relaxed structure of CeDyZn, computed with PBE.

abc: 3.5538 3.5538 12.3885
angles: 90.00 90.00 90.00
Space group I4mm (No. 107)
Symmetry-distinct sites (fractional):
Ce 0.0000 0.0000 0.0000 [2 per cell]
Dy 0.0000 0.0000 0.7060 [2 per cell]
Zn 0.0000 0.0000 0.3459 [2 per cell]

Summary:
The density of states at the Fermi level comes out at 11.31 states/eV/cell. For the mass density, the calculation gives 7812 kg/m³.


<Q>
A relaxed structure of CeDyZn, computed with PBE.

abc: 3.4584 16.7706 5.1439
angles: 90.00 90.00 90.00
Space group Cmcm (No. 63)
Symmetry-distinct sites (fractional):
Ce 0.0000 0.2282 0.2500 [4 per cell]
Dy 0.0000 0.0777 0.7500 [4 per cell]
Zn 0.0000 0.4277 0.7500 [4 per cell]

Summary:
The density of states at the Fermi level comes out at 23.97 states/eV/cell. For the mass density, the calculation gives 8193 kg/m³.


<R>
A relaxed structure of CeDyZn, computed with PBE.

abc: 5.1858 5.1858 2.9959
angles: 90.00 90.00 120.00
Space group P-6m2 (No. 187)
Symmetry-distinct sites (fractional):
Ce 0.0000 0.0000 0.0000 [1 per cell]
Dy 0.3333 0.6667 0.0000 [1 per cell]
Zn 0.6667 0.3333 0.5000 [1 per cell]

Summary:
The density of states at the Fermi level comes out at 5.24 states/eV/cell. For the mass density, the calculation gives 8759 kg/m³.


<Q> takes first place; second place is 30 meV/atom up.


<P>
A relaxed structure of CeDyZn2, computed with PBE.

abc: 3.4735 3.4735 28.1572
angles: 90.00 90.00 120.00
Space group R-3m (No. 166, hexagonal axes)
Symmetry-distinct sites (fractional):
Ce 0.0000 0.0000 0.0000 [3 per cell]
Dy 0.0000 0.0000 0.5000 [3 per cell]
Zn 0.0000 0.0000 0.2475 [6 per cell]

Summary:
The density of states at the Fermi level comes out at 19.01 states/eV/cell. For the mass density, the calculation gives 7339 kg/m³.


<Q>
A relaxed structure of CeDyZn2, computed with PBE.

abc: 3.5433 3.5433 7.3856
angles: 90.00 90.00 90.00
Space group P4/mmm (No. 123)
Symmetry-distinct sites (fractional):
Ce 0.0000 0.0000 0.0000 [1 per cell]
Dy 0.0000 0.0000 0.5000 [1 per cell]
Zn 0.5000 0.5000 0.2635 [2 per cell]

Summary:
The density of states at the Fermi level comes out at 7.82 states/eV/cell. For the mass density, the calculation gives 7762 kg/m³.


<Q> takes first place; second place is 205 meV/atom up.